(1)
DFT (GGA-PBEsol) results for a relaxed structure of FeHg2Pt.

## Properties
Fermi-level density of states = 0.873 states/eV/atom
E_form = 0.246 eV/atom

a = 2.9333 Å, b = 3.8100 Å, c = 5.9331 Å
α = 90.00°, β = 90.00°, γ = 90.00°
Last column: nearest neighbours and their distance in Å.
Atoms (fractional coordinates):
Hg 0.0000 0.0000 0.7423  4 Fe 2.80, 4 Pt 2.85, 4 Hg 2.88-3.06
Hg 0.0000 0.0000 0.2577  4 Fe 2.80, 4 Pt 2.85, 4 Hg 2.88-3.06
Fe 0.5000 0.5000 0.5000  8 Hg 2.80, 2 Fe 2.93, 2 Pt 2.97
Pt 0.5000 0.5000 0.0000  8 Hg 2.85, 2 Pt 2.93, 2 Fe 2.97

***

(2)
DFT (GGA-PBEsol) results for a relaxed structure of Ca2PdSN.

## Properties
total energy = -5.7317 eV/atom
Fermi-level density of states = 0.283 states/eV/atom

a = 3.7967 Å, b = 4.9127 Å, c = 4.9127 Å
α = 90.00°, β = 90.00°, γ = 90.00°
Last column: nearest neighbours and their distance in Å.
Atoms (fractional coordinates):
Pd 0.5000 0.0000 0.0000  2 N 1.90
S 0.5000 0.5000 0.5000  8 Ca 3.10, 4 Pd 3.47
N 0.0000 0.0000 0.0000  2 Pd 1.90
Ca 0.0000 0.5000 0.0000  2 N 2.46
Ca 0.0000 0.0000 0.5000  2 N 2.46

***

(3)
DFT (GGA-PBEsol) results for a relaxed structure of Ni3C.

## Properties
offset from the most stable computed form = 1.18 eV/f.u.
Fermi-level density of states = 0.774 states/eV/atom
E_form = 0.311 eV/atom

a = 2.6651 Å, b = 2.6651 Å, c = 6.3522 Å
α = 77.89°, β = 77.89°, γ = 60.00°
Last column: nearest neighbours and their distance in Å.
Atoms (fractional coordinates):
C 0.0000 0.0000 0.0000  6 Ni 1.89
Ni 0.2738 0.2738 0.1785  3 C 1.89
Ni 0.7262 0.7262 0.8215  3 C 1.89
Ni 0.5000 0.5000 0.5000  12 Ni 2.51-2.67

***

(4)
DFT (GGA-PBEsol) results for a relaxed structure of Li2MnVP3O12.

## Properties
total energy = -7.6663 eV/atom
Fermi-level density of states = 0.291 states/eV/atom

a = 8.1615 Å, b = 8.3226 Å, c = 8.6656 Å
α = 117.76°, β = 89.93°, γ = 118.22°
Last column: nearest neighbours and their distance in Å.
Atoms (fractional coordinates):
O 0.2095 0.7568 0.9213  1 P 1.58
O 0.4896 0.6585 0.1973  1 P 1.52
O 0.8600 0.6311 0.0797  1 P 1.53
O 0.5053 0.6797 0.8870  1 P 1.56
O 0.0959 0.8279 0.7142  1 P 1.55
O 0.8660 0.9844 0.7303  1 P 1.55
O 0.7905 0.2432 0.0787  1 P 1.58
O 0.3849 0.3705 0.5611  1 P 1.54
O 0.5468 0.0488 0.2099  1 P 1.52
O 0.9800 0.8077 0.4193  1 P 1.54
O 0.1871 0.7218 0.2238  1 P 1.56
O 0.5104 0.3415 0.8027  1 P 1.52
O 0.8108 0.4423 0.4143  1 P 1.53
O 0.4947 0.3203 0.1130  1 P 1.56
O 0.2614 0.3826 0.2706  1 P 1.56
O 0.1892 0.5577 0.5857  1 P 1.53
O 0.1400 0.3689 0.9203  1 P 1.53
O 0.0200 0.1923 0.5807  1 P 1.54
O 0.9041 0.1721 0.2858  1 P 1.55
O 0.4532 0.9512 0.7901  1 P 1.52
O 0.7386 0.6174 0.7294  1 P 1.56
O 0.1340 0.0156 0.2697  1 P 1.55
O 0.8129 0.2782 0.7762  1 P 1.56
O 0.6151 0.6295 0.4389  1 P 1.54
Li 0.3364 0.0740 0.1446  4 O 1.94-2.11
Li 0.9150 0.5861 0.8514  4 O 1.93-2.03
Li 0.0850 0.4139 0.1486  4 O 1.93-2.03
Li 0.6636 0.9260 0.8554  4 O 1.94-2.11
P 0.5316 0.4970 0.7468  4 O 1.52-1.56
P 0.9629 0.2096 0.7544  4 O 1.53-1.56
P 0.0371 0.7904 0.2456  4 O 1.53-1.56
P 0.2458 0.7767 0.7499  4 O 1.52-1.58
P 0.7542 0.2233 0.2501  4 O 1.52-1.58
P 0.4684 0.5030 0.2532  4 O 1.52-1.56
V 0.1446 0.2826 0.4340  6 O 1.84-1.99
V 0.8554 0.7174 0.5660  6 O 1.84-1.99
Mn 0.3530 0.7026 0.0585  5 O 1.90-2.12
Mn 0.6470 0.2974 0.9415  5 O 1.90-2.12

***

(5)
DFT (GGA-PBEsol) results for a relaxed structure of Sc3In5.

## Properties
Fermi-level density of states = 0.540 states/eV/atom
E_form = -0.437 eV/atom

a = 4.4497 Å, b = 6.2475 Å, c = 6.2475 Å
α = 90.64°, β = 90.00°, γ = 90.00°
Last column: nearest neighbours and their distance in Å.
Atoms (fractional coordinates):
Sc 0.5000 0.7679 0.2321  10 In 3.03-3.13, 2 Sc 3.26
Sc 0.0000 0.5000 0.5000  8 In 3.02-3.12, 4 Sc 3.26
Sc 0.5000 0.2321 0.7679  10 In 3.03-3.13, 2 Sc 3.26
In 0.0000 0.0000 0.5000  6 In 3.12-3.15, 6 Sc 3.12-3.13
In 0.5000 0.7322 0.7322  6 Sc 3.02-3.13, 6 In 3.15-3.24
In 0.0000 0.5000 0.0000  6 Sc 3.12-3.13, 6 In 3.12-3.15
In 0.5000 0.2678 0.2678  6 Sc 3.02-3.13, 6 In 3.15-3.24
In 0.0000 0.0000 0.0000  4 Sc 3.03, 8 In 3.12-3.24

***

(6)
DFT (GGA-PBEsol) results for a relaxed structure of Ga2CuAsF.

## Properties
total energy = -3.7246 eV/atom
Fermi-level density of states = 0.366 states/eV/atom

a = 3.9224 Å, b = 4.6254 Å, c = 4.6254 Å
α = 90.00°, β = 90.00°, γ = 90.00°
Last column: nearest neighbours and their distance in Å.
Atoms (fractional coordinates):
Ga 0.0000 0.5000 0.0000  2 F 2.31
Ga 0.0000 0.0000 0.5000  2 F 2.31
As 0.5000 0.5000 0.5000  8 Ga 3.03, 4 Cu 3.27
F 0.0000 0.0000 0.0000  2 Cu 1.96
Cu 0.5000 0.0000 0.0000  2 F 1.96

***

(7)
DFT (GGA-PBEsol) results for a relaxed structure of KLiNF2.

## Properties
total energy = -3.5014 eV/atom

a = 4.8724 Å, b = 4.8724 Å, c = 4.9044 Å
α = 90.00°, β = 90.00°, γ = 90.00°
Last column: nearest neighbours and their distance in Å.
Atoms (fractional coordinates):
F 0.0000 0.5000 0.0000  2 K 2.44
F 0.5000 0.0000 0.0000  2 K 2.44
Li 0.5000 0.5000 0.5000  4 N 3.45, 8 F 3.46
N 0.0000 0.0000 0.5000  2 K 2.45
K 0.0000 0.0000 0.0000  4 F 2.44, 2 N 2.45

***

(8)
DFT (GGA-PBEsol) results for a relaxed structure of CaSbPtI2.

## Properties
total energy = -3.6734 eV/atom
Fermi-level density of states = 1.088 states/eV/atom

a = 5.2653 Å, b = 5.4451 Å, c = 5.4451 Å
α = 90.00°, β = 90.00°, γ = 90.00°
Last column: nearest neighbours and their distance in Å.
Atoms (fractional coordinates):
I 0.0000 0.0000 0.5000  2 Pt 2.72
I 0.0000 0.5000 0.0000  2 Pt 2.72
Sb 0.5000 0.0000 0.0000  2 Pt 2.63
Pt 0.0000 0.0000 0.0000  2 Sb 2.63, 4 I 2.72
Ca 0.5000 0.5000 0.5000  8 I 3.79, 4 Sb 3.85

***

(9)
DFT (GGA-PBEsol) results for a relaxed structure of AlCo2Si.

## Properties
total energy = -6.4903 eV/atom
Fermi-level density of states = 1.180 states/eV/atom

a = 2.6290 Å, b = 2.6290 Å, c = 6.8286 Å
α = 90.00°, β = 90.00°, γ = 90.00°
Last column: nearest neighbours and their distance in Å.
Atoms (fractional coordinates):
Al 0.5000 0.5000 0.7803  4 Co 2.46, 4 Al 2.63
Co 0.0000 0.0000 0.0156  8 Co 2.44-2.63, 4 Al 2.46
Co 0.5000 0.5000 0.2477  4 Si 2.34, 4 Co 2.44
Si 0.0000 0.0000 0.4564  4 Co 2.34

***

(10)
DFT (GGA-PBEsol) results for a relaxed structure of Ba2LiCl.

## Properties
offset from the most stable computed form = 0.77 eV/f.u.
Fermi-level density of states = 1.291 states/eV/atom

a = 5.8980 Å, b = 5.8980 Å, c = 5.8980 Å
α = 60.00°, β = 60.00°, γ = 60.00°
Last column: nearest neighbours and their distance in Å.
Atoms (fractional coordinates):
Ba 0.2500 0.2500 0.2500  4 Cl 3.61, 4 Li 3.61
Ba 0.7500 0.7500 0.7500  4 Cl 3.61, 4 Li 3.61
Li 0.5000 0.5000 0.5000  8 Ba 3.61
Cl 0.0000 0.0000 0.0000  8 Ba 3.61

***

(11)
DFT (GGA-PBEsol) results for a relaxed structure of Sr2MgMn.

## Properties
Fermi-level density of states = 0.889 states/eV/atom
E_form = 0.476 eV/atom

a = 5.5016 Å, b = 5.5016 Å, c = 5.5124 Å
α = 119.94°, β = 119.94°, γ = 90.00°
Last column: nearest neighbours and their distance in Å.
Atoms (fractional coordinates):
Mn 0.2500 0.7500 0.5000  4 Mg 3.37, 4 Sr 3.37
Sr 0.7500 0.2500 0.5000  4 Mg 3.37, 4 Sr 3.37
Sr 0.0000 0.0000 0.0000  4 Mn 3.37, 4 Sr 3.37
Mg 0.5000 0.5000 0.0000  4 Mn 3.37, 4 Sr 3.37

***

(12)
DFT (GGA-PBEsol) results for a relaxed structure of LaSiNi2.

## Properties
total energy = -6.1224 eV/atom
Fermi-level density of states = 0.845 states/eV/atom

a = 3.0971 Å, b = 3.0971 Å, c = 6.5352 Å
α = 90.00°, β = 90.00°, γ = 90.00°
Last column: nearest neighbours and their distance in Å.
Atoms (fractional coordinates):
Ni 0.0000 0.0000 0.0593  1 Si 2.29
Ni 0.5000 0.5000 0.2635  4 Si 2.39, 4 Ni 2.56
La 0.5000 0.5000 0.7682  5 Ni 2.90-3.24, 4 La 3.10, 4 Si 3.21
Si 0.0000 0.0000 0.4091  5 Ni 2.29-2.39

***

| no. | spin magnetization (μB/f.u.) |
| --- | --- |
| 1 | 2.7 |
| 2 | 0.0 |
| 3 | 0.4 |
| 4 | 5.0 |
| 5 | 0.0 |
| 6 | 0.0 |
| 7 | 3.1 |
| 8 | 0.5 |
| 9 | 1.5 |
| 10 | 0.0 |
| 11 | 4.5 |
| 12 | 0.0 |